Here is a geometry-optimized LiCoPO4 structure from Alexandria. Energies are from PBE+U.

The structure belongs to space group P2_12_12_1 (No. 19); the cell edges are 5.0009, 6.0145 and 11.1209 Å and the angles 90.00°, 90.00° and 90.00°. Symmetry generates all atoms from Li at (0.1589, 0.2311, 0.3282), Co at (0.1611, 0.5204, 0.5737), P at (0.1565, 0.0147, 0.5872), O at (0.1535, 0.5279, 0.9180), O at (0.2323, 0.7736, 0.1505), O at (0.2351, 0.0025, 0.9556) and O at (0.2428, 0.8038, 0.6589).

The value obtained for the polymorph energy (0 for the lowest one) is 47 meV/atom. The calculation puts the raw total energy at -6.60 eV/atom. Its density of states at the Fermi level is 0.00 states/eV/f.u. The calculated volume comes out at 11.95 Å³/atom.